TaTe2Cl | meta-GGA SCAN | PBEsol geometry

Cell lengths 3.1911, 4.8508, 13.9334 Å; angles 90.00, 90.00, 90.00 degrees
Last column: nearest neighbours and their distance in Å.
Element x y z (fractional)
Ta: 0.0000 0.0000 0.0000  4 Te 2.75, 4 Cl 2.90
Ta: 0.5000 0.5000 0.5000  4 Te 2.75, 4 Cl 2.90
Te: 0.0000 0.5000 0.3390  2 Ta 2.75
Te: 0.0000 0.5000 0.6610  2 Ta 2.75
Te: 0.5000 0.0000 0.1610  2 Ta 2.75
Te: 0.5000 0.0000 0.8390  2 Ta 2.75
Cl: 0.0000 0.0000 0.5000  4 Ta 2.90, 2 Cl 3.19
Cl: 0.5000 0.5000 0.0000  4 Ta 2.90, 2 Cl 3.19

## Properties
For the energy above the most stable polymorph in this dataset, the calculation gives 310 meV/atom. The value obtained for the volume is 27.0 A^3/atom. The space group is Immm, No. 71. The energy relative to the elements, uncorrected comes out at -0.028 eV/atom. The calculation puts the total magnetic moment at 0.00 μB per atom.